# In5GaSn

A relaxed structure of In5GaSn (PBE, Alexandria via LeMat-Bulk).

The calculation puts the total magnetic moment at 0.0 Bohr magnetons per cell. The calculation puts the formation energy at 0.06 eV per atom.

The structure belongs to space group C2/c (No. 15); the cell edges are 11.793, 13.331 and 5.331 Å and the angles 90.00°, 116.78° and 90.00°. Symmetry generates all atoms from In at (0.000, 0.216, 0.250), In at (0.174, 0.154, 0.925), In at (0.187, 0.417, 0.436), Ga at (0.000, 0.000, 0.000) and Sn at (0.000, 0.383, 0.750).